(1)
! Mg2ZnAu, optimized geometry, DFT PBEsol; values from VASP
! - Space-group type: Cm (8)
! - E: -2.54 eV/atom
&SYSTEM
  ibrav = 0, nat = 4, ntyp = 3
/
ATOMIC_SPECIES
Zn 65.41 Zn.upf
Au 196.97 Au.upf
Mg 24.30 Mg.upf
CELL_PARAMETERS angstrom
-0.999 -1.013 -3.039
-1.449 -3.927 1.785
-3.020 4.006 1.510
ATOMIC_POSITIONS crystal
Zn 0.483 0.503 0.966
Au 0.763 0.240 0.525
Mg 0.016 0.035 0.033
Mg 0.238 0.722 0.476



(2)
! MgZnAu, optimized geometry, DFT PBEsol; values from VASP
! - Space-group type: I4mm (107)
! - E: -2.78 eV/atom
&SYSTEM
  ibrav = 0, nat = 3, ntyp = 3
/
ATOMIC_SPECIES
Zn 65.41 Zn.upf
Au 196.97 Au.upf
Mg 24.30 Mg.upf
CELL_PARAMETERS angstrom
-2.825 0.988 1.589
-1.863 -1.227 -2.551
2.133 -3.658 2.452
ATOMIC_POSITIONS crystal
Zn 0.337 0.337 0.674
Au 0.998 0.998 0.996
Mg 0.665 0.665 0.330



(3)
! MgZnAu2, optimized geometry, DFT PBEsol; values from VASP
! - Space-group type: Pmm2 (25)
! - E: -3.13 eV/atom
&SYSTEM
  ibrav = 0, nat = 4, ntyp = 3
/
ATOMIC_SPECIES
Zn 65.41 Zn.upf
Au 196.97 Au.upf
Mg 24.30 Mg.upf
CELL_PARAMETERS angstrom
-2.193 -2.273 -0.456
1.582 -0.879 -3.227
3.293 -3.701 2.622
ATOMIC_POSITIONS crystal
Zn 0.500 0.500 0.772
Au 0.000 0.000 0.971
Au 0.500 0.500 0.272
Mg 0.000 0.000 0.486



(4)
! MgZn4Au, optimized geometry, DFT PBEsol; values from VASP
! - Space-group type: F-43m (216)
! - E: -2.16 eV/atom
&SYSTEM
  ibrav = 0, nat = 6, ntyp = 3
/
ATOMIC_SPECIES
Zn 65.41 Zn.upf
Au 196.97 Au.upf
Mg 24.30 Mg.upf
CELL_PARAMETERS angstrom
5.035 0.000 0.000
2.518 4.361 0.000
2.518 1.454 4.111
ATOMIC_POSITIONS crystal
Zn 0.375 0.375 0.375
Zn 0.375 0.375 0.874
Zn 0.874 0.375 0.375
Zn 0.375 0.874 0.375
Au 0.750 0.750 0.750
Mg 0.000 0.000 0.000



(5)
! Mg2ZnAu, optimized geometry, DFT PBEsol; values from VASP
! - Space-group type: P4/mmm (123)
! - E: -2.58 eV/atom
&SYSTEM
  ibrav = 0, nat = 4, ntyp = 3
/
ATOMIC_SPECIES
Zn 65.41 Zn.upf
Au 196.97 Au.upf
Mg 24.30 Mg.upf
CELL_PARAMETERS angstrom
-2.256 2.475 -0.337
-0.541 -0.927 -3.190
-4.417 -3.774 1.845
ATOMIC_POSITIONS crystal
Zn 0.500 0.500 0.000
Au 0.500 0.500 0.500
Mg 0.000 0.000 0.746
Mg 0.000 0.000 0.254



(6)
! Mg2ZnAu, optimized geometry, DFT PBEsol; values from VASP
! - Space-group type: Cmmm (65)
! - E: -2.59 eV/atom
&SYSTEM
  ibrav = 0, nat = 4, ntyp = 3
/
ATOMIC_SPECIES
Zn 65.41 Zn.upf
Au 196.97 Au.upf
Mg 24.30 Mg.upf
CELL_PARAMETERS angstrom
-1.497 2.272 1.954
-4.022 -1.861 -0.917
0.473 -2.751 3.562
ATOMIC_POSITIONS crystal
Zn 0.500 0.000 0.000
Au 0.500 0.500 0.500
Mg 0.000 0.500 0.000
Mg 0.000 0.000 0.500



(7)
! Mg2ZnAu, optimized geometry, DFT PBEsol; values from VASP
! - Space-group type: I-4m2 (119)
! - E: -2.54 eV/atom
&SYSTEM
  ibrav = 0, nat = 4, ntyp = 3
/
ATOMIC_SPECIES
Zn 65.41 Zn.upf
Au 196.97 Au.upf
Mg 24.30 Mg.upf
CELL_PARAMETERS angstrom
4.132 0.000 0.000
0.000 4.132 0.000
-2.066 -2.066 3.941
ATOMIC_POSITIONS crystal
Zn 0.500 0.500 0.000
Au 0.250 0.750 0.500
Mg 0.000 0.000 0.000
Mg 0.750 0.250 0.500



(8)
! MgZnAu2, optimized geometry, DFT PBEsol; values from VASP
! - Space-group type: Imm2 (44)
! - E: -3.20 eV/atom
&SYSTEM
  ibrav = 0, nat = 4, ntyp = 3
/
ATOMIC_SPECIES
Zn 65.41 Zn.upf
Au 196.97 Au.upf
Mg 24.30 Mg.upf
CELL_PARAMETERS angstrom
3.854 0.000 0.000
0.000 3.933 0.000
-1.927 -1.967 4.257
ATOMIC_POSITIONS crystal
Zn 0.252 0.252 0.505
Au 0.998 0.498 0.996
Au 0.749 0.749 0.498
Mg 0.501 0.001 0.001



(9)
! Mg2ZnAu, optimized geometry, DFT PBEsol; values from VASP
! - Space-group type: P4mm (99)
! - E: -2.50 eV/atom
&SYSTEM
  ibrav = 0, nat = 4, ntyp = 3
/
ATOMIC_SPECIES
Au 196.97 Au.upf
Mg 24.30 Mg.upf
Zn 65.41 Zn.upf
CELL_PARAMETERS angstrom
3.450 0.000 0.000
0.000 3.450 0.000
0.000 0.000 5.907
ATOMIC_POSITIONS crystal
Au 0.500 0.500 0.748
Mg 0.000 0.000 0.972
Mg 0.500 0.500 0.273
Zn 0.000 0.000 0.507



(10)
! Mg4ZnAu, optimized geometry, DFT PBEsol; values from VASP
! - Space-group type: F-43m (216)
! - E: -1.92 eV/atom
&SYSTEM
  ibrav = 0, nat = 6, ntyp = 3
/
ATOMIC_SPECIES
Au 196.97 Au.upf
Mg 24.30 Mg.upf
Zn 65.41 Zn.upf
CELL_PARAMETERS angstrom
5.512 0.000 0.000
2.756 4.773 0.000
2.756 1.591 4.500
ATOMIC_POSITIONS crystal
Au 0.000 0.000 0.000
Mg 0.375 0.375 0.375
Mg 0.375 0.375 0.876
Mg 0.876 0.375 0.375
Mg 0.375 0.876 0.375
Zn 0.750 0.750 0.750



(11)
! Mg2ZnAu, optimized geometry, DFT PBEsol; values from VASP
! - Space-group type: Imm2 (44)
! - E: -2.54 eV/atom
&SYSTEM
  ibrav = 0, nat = 4, ntyp = 3
/
ATOMIC_SPECIES
Zn 65.41 Zn.upf
Au 196.97 Au.upf
Mg 24.30 Mg.upf
CELL_PARAMETERS angstrom
-1.273 2.340 -2.065
-4.152 -1.638 0.704
2.190 2.501 4.234
ATOMIC_POSITIONS crystal
Zn 0.517 0.517 0.034
Au 0.238 0.738 0.475
Mg 0.984 0.984 0.967
Mg 0.762 0.262 0.524



(12)
! MgZnAu, optimized geometry, DFT PBEsol; values from VASP
! - Space-group type: P-6m2 (187)
! - E: -2.77 eV/atom
&SYSTEM
  ibrav = 0, nat = 3, ntyp = 3
/
ATOMIC_SPECIES
Zn 65.41 Zn.upf
Au 196.97 Au.upf
Mg 24.30 Mg.upf
CELL_PARAMETERS angstrom
-2.488 1.369 -0.967
-1.897 -3.939 -0.694
-0.426 2.001 3.926
ATOMIC_POSITIONS crystal
Zn 0.167 0.667 0.333
Au 0.166 0.000 0.000
Mg 0.667 0.333 0.667



(13)
! MgZnAu, optimized geometry, DFT PBEsol; values from VASP
! - Space-group type: F-43m (216)
! - E: -2.70 eV/atom
&SYSTEM
  ibrav = 0, nat = 3, ntyp = 3
/
ATOMIC_SPECIES
Zn 65.41 Zn.upf
Au 196.97 Au.upf
Mg 24.30 Mg.upf
CELL_PARAMETERS angstrom
4.358 0.000 0.000
2.179 3.774 0.000
2.179 1.258 3.558
ATOMIC_POSITIONS crystal
Zn 0.500 0.500 0.500
Au 0.750 0.750 0.750
Mg 0.000 0.000 0.000



(14)
! Mg2ZrAu, optimized geometry, DFT PBEsol; values from VASP
! - Space-group type: Amm2 (38)
! - E above lowest polymorph: 0.0151 eV/atom
&SYSTEM
  ibrav = 0, nat = 4, ntyp = 3
/
ATOMIC_SPECIES
Au 196.97 Au.upf
Mg 24.30 Mg.upf
Zr 91.22 Zr.upf
CELL_PARAMETERS angstrom
-0.482 1.769 2.366
-4.188 0.809 -1.457
-1.711 -5.499 1.867
ATOMIC_POSITIONS crystal
Au 0.679 0.500 0.733
Mg 0.815 0.000 0.006
Mg 0.426 0.500 0.229
Zr 0.079 0.000 0.532



(15)
! Mg2ZrAu, optimized geometry, DFT PBEsol; values from VASP
! - Space-group type: Pmmm (47)
! - E above lowest polymorph: 0.0000 eV/atom
&SYSTEM
  ibrav = 0, nat = 4, ntyp = 3
/
ATOMIC_SPECIES
Au 196.97 Au.upf
Mg 24.30 Mg.upf
Zr 91.22 Zr.upf
CELL_PARAMETERS angstrom
3.923 0.000 0.000
0.000 4.344 0.000
0.000 0.000 4.549
ATOMIC_POSITIONS crystal
Au 0.000 0.500 0.500
Mg 0.000 0.000 0.000
Mg 0.500 0.500 0.000
Zr 0.500 0.000 0.500